A plane-wave DFT calculation with PBE was carried out for an optimized crystal structure of BaLa2As.

Unit cell a=7.1634 b=7.1634 c=6.0144 alpha=65.19 beta=65.19 gamma=32.33
Last column: nearest neighbours and their distance in Å.
Positions (direct):
As: 0.7500 0.7500 0.7500  4 La 3.03
Ba: 0.2500 0.2500 0.2500  4 As 3.61, 4 La 3.77, 2 Ba 3.99
La: 0.0661 0.0661 0.9340  2 As 3.03
La: 0.4339 0.4339 0.5660  2 As 3.03

## Properties
For the formation enthalpy at 0 K, the calculation gives -0.5414 eV per atom. Its space group is Immm (71).

A plane-wave DFT calculation with PBE was carried out for an optimized crystal structure of BaLa2As.

Unit cell a=4.2304 b=4.2304 c=10.8781 alpha=78.79 beta=78.79 gamma=60.00
Last column: nearest neighbours and their distance in Å.
Positions (direct):
Ba: 0.5000 0.5000 0.4999  6 Ba 4.23, 6 La 4.32
La: 0.0545 0.0545 0.8364  3 As 3.00
La: 0.2789 0.2789 0.1633  3 As 2.99
As: 0.6665 0.6665 0.0004  6 La 2.99-3.00

## Properties
For the formation enthalpy at 0 K, the calculation gives -0.6604 eV per atom. Its space group is R3m (160).

A plane-wave DFT calculation with PBE was carried out for an optimized crystal structure of BaLa2As.

Unit cell a=6.2544 b=6.2544 c=6.2544 alpha=133.74 beta=133.74 gamma=67.50
Last column: nearest neighbours and their distance in Å.
Positions (direct):
As: 0.2500 0.7500 0.5000  4 Ba 3.47, 8 La 3.58
Ba: 0.7500 0.2500 0.5000  4 As 3.47, 8 La 3.58
La: 0.0000 0.0000 0.0000  4 La 3.47, 4 As 3.58, 4 Ba 3.58
La: 0.5000 0.5000 0.0000  4 La 3.47, 4 Ba 3.58, 4 As 3.58

## Properties
For the formation enthalpy at 0 K, the calculation gives -0.3264 eV per atom. Its space group is I4/mmm (139).

A plane-wave DFT calculation with PBE was carried out for an optimized crystal structure of BaLa2As.

Unit cell a=4.7747 b=4.5128 c=7.4484 alpha=72.20 beta=90.00 gamma=90.00
Last column: nearest neighbours and their distance in Å.
Positions (direct):
As: 0.0000 0.3250 0.4740  4 La 2.95-3.30
Ba: 0.5000 0.7306 0.6613  4 As 3.54, 2 La 3.80
La: 0.0000 0.9956 0.1351  2 As 3.30, 4 La 3.35-3.36
La: 0.5000 0.4489 0.2296  2 As 2.95

## Properties
For the formation enthalpy at 0 K, the calculation gives -0.5140 eV per atom. Its space group is Pm (6).